(1)
CeC2 | SCAN | single point on PBEsol structure Values from VASP.

Structure (Quantum ESPRESSO input):
```
&SYSTEM
  ibrav = 0, nat = 3, ntyp = 2
/
ATOMIC_SPECIES
Ce 140.12 Ce.upf
C 12.01 C.upf
CELL_PARAMETERS angstrom
-1.850 1.850 3.123
1.850 -1.850 3.123
1.850 1.850 -3.123
ATOMIC_POSITIONS crystal
Ce 0.000 0.000 0.000
C 0.395 0.395 0.000
C 0.605 0.605 0.000
```

**DFT formation energy**: -250 meV/atom
**D(E_F)**: 0.940 states/eV per atom

=====

(2)
Ce2C2Cl | SCAN | single point on PBEsol structure Values from VASP.

Structure (Quantum ESPRESSO input):
```
&SYSTEM
  ibrav = 0, nat = 10, ntyp = 3
/
ATOMIC_SPECIES
Ce 140.12 Ce.upf
C 12.01 C.upf
Cl 35.45 Cl.upf
CELL_PARAMETERS angstrom
6.923 -2.042 0.000
6.923 2.042 0.000
-1.195 0.000 6.315
ATOMIC_POSITIONS crystal
Ce 0.036 0.668 0.853
Ce 0.332 0.964 0.647
Ce 0.668 0.036 0.353
Ce 0.964 0.332 0.147
C 0.152 0.407 0.473
C 0.407 0.152 0.973
C 0.593 0.848 0.027
C 0.848 0.593 0.527
Cl 0.306 0.694 0.250
Cl 0.694 0.306 0.750
```

**D(E_F)**: 0.869 states/eV per atom
**Formation energy from raw total energies**: -1.051 eV per atom

=====

(3)
CeCoC2 | SCAN | single point on PBEsol structure Values from VASP.

Structure (Quantum ESPRESSO input):
```
&SYSTEM
  ibrav = 0, nat = 8, ntyp = 3
/
ATOMIC_SPECIES
Ce 140.12 Ce.upf
Co 58.93 Co.upf
C 12.01 C.upf
CELL_PARAMETERS angstrom
2.606 -2.607 0.000
2.606 2.607 0.000
-1.283 0.000 7.182
ATOMIC_POSITIONS crystal
Ce 0.064 0.936 0.500
Ce 0.936 0.064 0.000
Co 0.381 0.512 0.804
Co 0.512 0.381 0.304
C 0.447 0.595 0.070
C 0.493 0.865 0.225
C 0.595 0.447 0.570
C 0.865 0.493 0.725
```

**DFT formation energy**: -289 meV/atom
**D(E_F)**: 0.803 states/eV per atom

=====

(4)
CeCO3F | SCAN | single point on PBEsol structure Values from VASP.

Structure (Quantum ESPRESSO input):
```
&SYSTEM
  ibrav = 0, nat = 36, ntyp = 4
/
ATOMIC_SPECIES
Ce 140.12 Ce.upf
C 12.01 C.upf
O 16.00 O.upf
F 19.00 F.upf
CELL_PARAMETERS angstrom
7.028 0.000 0.000
-3.514 6.086 0.000
0.000 0.000 9.742
ATOMIC_POSITIONS crystal
Ce 0.000 0.340 0.000
Ce 0.000 0.340 0.500
Ce 0.340 0.000 0.000
Ce 0.340 0.000 0.500
Ce 0.660 0.660 0.000
Ce 0.660 0.660 0.500
C 0.030 0.709 0.250
C 0.291 0.322 0.250
C 0.322 0.291 0.750
C 0.678 0.970 0.250
C 0.709 0.030 0.750
C 0.970 0.678 0.750
O 0.059 0.676 0.635
O 0.059 0.676 0.865
O 0.106 0.317 0.250
O 0.211 0.894 0.250
O 0.317 0.106 0.750
O 0.324 0.383 0.635
O 0.324 0.383 0.865
O 0.383 0.324 0.135
O 0.383 0.324 0.365
O 0.617 0.941 0.635
O 0.617 0.941 0.865
O 0.676 0.059 0.135
O 0.676 0.059 0.365
O 0.683 0.789 0.250
O 0.789 0.683 0.750
O 0.894 0.211 0.750
O 0.941 0.617 0.135
O 0.941 0.617 0.365
F 0.000 0.000 0.000
F 0.000 0.000 0.500
F 0.333 0.667 0.055
F 0.333 0.667 0.445
F 0.667 0.333 0.555
F 0.667 0.333 0.945
```

**Formation energy from raw total energies**: -2.876 eV per atom

=====

(5)
Ce3CI5 | SCAN | single point on PBEsol structure Values from VASP.

Structure (Quantum ESPRESSO input):
```
&SYSTEM
  ibrav = 0, nat = 18, ntyp = 3
/
ATOMIC_SPECIES
Ce 140.12 Ce.upf
C 12.01 C.upf
I 126.90 I.upf
CELL_PARAMETERS angstrom
7.557 0.000 0.000
-2.305 9.148 0.000
-1.019 -3.146 8.889
ATOMIC_POSITIONS crystal
Ce 0.036 0.233 0.423
Ce 0.112 0.540 0.273
Ce 0.392 0.629 0.675
Ce 0.608 0.371 0.325
Ce 0.888 0.460 0.727
Ce 0.964 0.767 0.577
C 0.092 0.530 0.541
C 0.908 0.470 0.459
I 0.092 0.877 0.313
I 0.185 0.222 0.126
I 0.264 0.586 0.966
I 0.353 0.957 0.777
I 0.452 0.293 0.600
I 0.548 0.707 0.400
I 0.647 0.043 0.223
I 0.736 0.414 0.034
I 0.815 0.778 0.874
I 0.908 0.123 0.687
```

**D(E_F)**: 0.494 states/eV per atom
**Formation energy from raw total energies**: -1.335 eV per atom

=====

(6)
CeSi2Mo2C | SCAN | single point on PBEsol structure Values from VASP.

Structure (Quantum ESPRESSO input):
```
&SYSTEM
  ibrav = 0, nat = 6, ntyp = 4
/
ATOMIC_SPECIES
Ce 140.12 Ce.upf
Si 28.09 Si.upf
Mo 95.94 Mo.upf
C 12.01 C.upf
CELL_PARAMETERS angstrom
4.180 0.000 0.000
0.000 4.180 0.000
0.000 0.000 5.290
ATOMIC_POSITIONS crystal
Ce 0.000 0.000 0.000
Si 0.500 0.500 0.221
Si 0.500 0.500 0.779
Mo 0.000 0.500 0.500
Mo 0.500 0.000 0.500
C 0.000 0.000 0.500
```

**D(E_F)**: 0.598 states/eV per atom
**Formation energy from raw total energies**: -0.496 eV per atom

=====

E (computed, eV for the cell shown): -65.513 -245.118 -166.450 -564.926 -679.024 -147.441